## BeReOs (PBEsol)

Data for a relaxed structure of BeReOs.

Lattice parameters (Å, degrees): 2.8235 2.8235 4.9708 106.50 106.50 90.00
Closest atoms and distances in Å follow each position.
Atoms (fractional coordinates):
Re (0.3407, 0.3407, 0.6814)  4 Be 2.49, 4 Os 2.62
Os (0.6544, 0.6544, 0.3089)  4 Be 2.42, 4 Re 2.62
Be (0.0049, 0.0049, 0.0098)  4 Os 2.42, 4 Re 2.49

Properties
* SG: I4mm (107)
* ΔH_f (0 K): -0.169 eV/atom
* raw total energy: -10.019 eV/atom